(1)
HoU2Tc2 | PBE | relaxed

Properties
D(E_F) = 15.92 states/eV per cell
ρ = 13.526 g/cm3
SG = P2_1/m (11)

Lattice parameters (Å, degrees): 6.2315 7.6894 5.8843 89.98 90.02 133.21
Closest atoms and distances in Å follow each position.
Fractional positions:
U (0.6885, 0.3324, 0.0241)  3 Tc 2.53-2.76, 1 U 2.66
U (0.6881, 0.3321, 0.4757)  3 Tc 2.53-2.76, 1 U 2.66
U (0.3115, 0.6676, 0.9759)  3 Tc 2.53-2.76, 1 U 2.66
U (0.3119, 0.6679, 0.5243)  3 Tc 2.53-2.76, 1 U 2.66
Tc (0.2038, 0.8529, 0.2500)  2 U 2.53, 1 Tc 2.79
Tc (0.6029, 0.5942, 0.2500)  4 U 2.75-2.76, 1 Tc 2.79, 2 Ho 2.89-3.02
Tc (0.3971, 0.4058, 0.7500)  4 U 2.75-2.76, 1 Tc 2.79, 2 Ho 2.89-3.02
Tc (0.7962, 0.1471, 0.7500)  2 U 2.53, 1 Tc 2.79
Ho (0.0091, 0.1301, 0.2500)  3 Tc 2.89-3.09
Ho (0.9909, 0.8699, 0.7500)  3 Tc 2.89-3.09

---

(2)
Ho2UTc2 | PBE | relaxed

Properties
D(E_F) = 6.29 states/eV per cell
ρ = 11.260 g/cm3
SG = C2/c (15)

Lattice parameters (Å, degrees): 5.7516 5.7516 7.8728 81.17 81.17 61.55
Closest atoms and distances in Å follow each position.
Fractional positions:
Tc (0.9983, 0.2528, 0.9882)  2 U 2.43-2.67
Tc (0.7472, 0.0017, 0.5118)  2 U 2.43-2.67
Tc (0.0017, 0.7472, 0.0118)  2 U 2.43-2.67
Tc (0.2528, 0.9983, 0.4882)  2 U 2.43-2.67
U (0.8728, 0.1272, 0.7500)  4 Tc 2.43-2.67
U (0.1272, 0.8728, 0.2500)  4 Tc 2.43-2.67
Ho (0.7760, 0.5262, 0.3501)  6 Tc 3.11-3.25, 3 U 3.40-3.47
Ho (0.5262, 0.7760, 0.8501)  6 Tc 3.11-3.25, 3 U 3.40-3.47
Ho (0.2240, 0.4738, 0.6499)  6 Tc 3.11-3.25, 3 U 3.40-3.47
Ho (0.4738, 0.2240, 0.1499)  6 Tc 3.11-3.25, 3 U 3.40-3.47

---

(3)
HoUTc4 | PBE | relaxed

Properties
D(E_F) = 13.98 states/eV per cell
ρ = 12.071 g/cm3
SG = F-43m (216)

Lattice parameters (Å, degrees): 5.3678 5.3678 5.3678 60.00 60.00 60.00
Closest atoms and distances in Å follow each position.
Fractional positions:
U (0.2500, 0.2500, 0.2500)  12 Tc 3.15, 4 Ho 3.29
Tc (0.6253, 0.6253, 0.6253)  6 Tc 2.68-2.69
Tc (0.1240, 0.6253, 0.6253)  6 Tc 2.68-2.69
Tc (0.6253, 0.6253, 0.1240)  6 Tc 2.68-2.69
Tc (0.6253, 0.1240, 0.6253)  6 Tc 2.68-2.69
Ho (0.0000, 0.0000, 0.0000)  12 Tc 3.15, 4 U 3.29

---

(4)
Ho2UTc3 | PBE | relaxed

Properties
D(E_F) = 7.26 states/eV per cell
ρ = 10.491 g/cm3
SG = Cmcm (63)

Lattice parameters (Å, degrees): 4.8649 7.7126 7.7126 109.46 90.00 90.00
Closest atoms and distances in Å follow each position.
Fractional positions:
Ho (0.2500, 0.4835, 0.1736)  7 Tc 3.01-3.18
Ho (0.7500, 0.8264, 0.5165)  7 Tc 3.01-3.18
Ho (0.2500, 0.1736, 0.4835)  7 Tc 3.01-3.18
Ho (0.7500, 0.5165, 0.8264)  7 Tc 3.01-3.18
Tc (0.0000, 0.8367, 0.1633)  2 Tc 2.43
Tc (0.0000, 0.1633, 0.8367)  2 Tc 2.43
Tc (0.7500, 0.4002, 0.4002)  1 U 2.21
Tc (0.5000, 0.8367, 0.1633)  2 Tc 2.43
Tc (0.2500, 0.5998, 0.5998)  1 U 2.21
Tc (0.5000, 0.1633, 0.8367)  2 Tc 2.43
U (0.7500, 0.1519, 0.1519)  1 Tc 2.21
U (0.2500, 0.8481, 0.8481)  1 Tc 2.21

---

no.,calculated volume (Å³/atom),total DFT energy (no corrections) (eV per atom)
1,20.551,-9.67
2,22.530,-8.46
3,18.227,-9.54
4,22.738,-8.57